The following is a DFT calculation (meta-GGA SCAN) of ZrSi2 at its PBEsol-relaxed geometry.

Calculated values
**VASP energy**: -207.9 eV per cell
**ΔE_f (raw)**: -40.0 kJ/mol of atoms

a = 9.4703 Å, b = 3.6745 Å, c = 6.0746 Å
α = 90.00°, β = 104.55°, γ = 90.00°
Space group C2/m (No. 12)
Symmetry-distinct sites (fractional):
Zr 0.1631 0.0000 0.2083 (multiplicity 4)
Si 0.0597 0.5000 0.8524 (multiplicity 4)
Si 0.1124 0.0000 0.6407 (multiplicity 4)



The following is a DFT calculation (meta-GGA SCAN) of Zr5Si4 at its PBEsol-relaxed geometry.

Calculated values
**VASP energy**: -807.8 eV per cell
**ΔE_f (raw)**: -90.1 kJ/mol of atoms
**Energy above the lowest structure with this stoichiometry**: 0.0 meV per atom

a = 7.0817 Å, b = 7.0817 Å, c = 12.9310 Å
α = 90.00°, β = 90.00°, γ = 90.00°
Space group P4_12_12 (No. 92)
Symmetry-distinct sites (fractional):
Zr 0.0010 0.3499 0.0352 (multiplicity 8)
Zr 0.0015 0.1456 0.6267 (multiplicity 8)
Zr 0.1750 0.8250 0.7500 (multiplicity 4)
Si 0.0501 0.6988 0.9378 (multiplicity 8)
Si 0.1467 0.2056 0.8228 (multiplicity 8)